1.
Hf2Ga2Sn: relaxed, PBE.

Space-group type ... No. 139
Relative energy among the computed polymorphs ... 3.34 kcal/mol of atoms

The structure in CIF format:
```
data_Hf2Ga2Sn
_cell_length_a 3.635
_cell_length_b 3.635
_cell_length_c 8.294
_cell_angle_alpha 77.34
_cell_angle_beta 77.34
_cell_angle_gamma 90.00
_space_group_name_H-M_alt 'P 1'
_space_group_IT_number 1
_space_group_name_Hall 'P 1'
loop_
_atom_site_label
_atom_site_type_symbol
_atom_site_fract_x
_atom_site_fract_y
_atom_site_fract_z
Sn1 Sn 0.000 0.000 0.000
Hf1 Hf 0.392 0.392 0.215
Hf2 Hf 0.608 0.608 0.785
Ga1 Ga 0.250 0.750 0.500
Ga2 Ga 0.750 0.250 0.500
```

---

2.
TbErInRu: relaxed, PBE.

Space-group type ... No. 216
Relative energy among the computed polymorphs ... 3.00 kcal/mol of atoms

The structure in CIF format:
```
data_TbErInRu
_cell_length_a 5.050
_cell_length_b 5.050
_cell_length_c 5.050
_cell_angle_alpha 60.00
_cell_angle_beta 60.00
_cell_angle_gamma 60.00
_space_group_name_H-M_alt 'P 1'
_space_group_IT_number 1
_space_group_name_Hall 'P 1'
loop_
_atom_site_label
_atom_site_type_symbol
_atom_site_fract_x
_atom_site_fract_y
_atom_site_fract_z
Ru1 Ru 0.750 0.750 0.750
Tb1 Tb 0.500 0.500 0.500
Er1 Er 0.000 0.000 0.000
In1 In 0.250 0.250 0.250
```

---

3.
BaGeRu2O8: relaxed, PBE.

Uncorrected formation energy ... -1200.0 meV per atom
Space-group type ... No. 147

The structure in CIF format:
```
data_BaGeRu2O8
_cell_length_a 5.296
_cell_length_b 5.296
_cell_length_c 7.505
_cell_angle_alpha 90.00
_cell_angle_beta 90.00
_cell_angle_gamma 120.00
_space_group_name_H-M_alt 'P 1'
_space_group_IT_number 1
_space_group_name_Hall 'P 1'
loop_
_atom_site_label
_atom_site_type_symbol
_atom_site_fract_x
_atom_site_fract_y
_atom_site_fract_z
O1 O 0.296 0.275 0.342
O2 O 0.275 0.979 0.658
O3 O 0.704 0.725 0.658
O4 O 0.725 0.021 0.342
O5 O 0.333 0.667 0.946
O6 O 0.979 0.704 0.342
O7 O 0.021 0.296 0.658
O8 O 0.667 0.333 0.054
Ba1 Ba 0.000 0.000 0.000
Ge1 Ge 0.000 0.000 0.500
Ru1 Ru 0.667 0.333 0.294
Ru2 Ru 0.333 0.667 0.706
```

---

4.
Pr8AsRh3Cl4: relaxed, PBE.

Uncorrected formation energy ... -1199.9 meV per atom
Space-group type ... No. 166

The structure in CIF format:
```
data_Pr8AsRh3Cl4
_cell_length_a 8.408
_cell_length_b 8.861
_cell_length_c 8.409
_cell_angle_alpha 118.34
_cell_angle_beta 120.00
_cell_angle_gamma 90.00
_space_group_name_H-M_alt 'P 1'
_space_group_IT_number 1
_space_group_name_Hall 'P 1'
loop_
_atom_site_label
_atom_site_type_symbol
_atom_site_fract_x
_atom_site_fract_y
_atom_site_fract_z
Pr1 Pr 0.243 0.711 0.487
Pr2 Pr 0.757 0.289 0.033
Pr3 Pr 0.736 0.708 0.472
Pr4 Pr 0.264 0.292 0.528
Pr5 Pr 0.243 0.711 0.967
Pr6 Pr 0.757 0.289 0.513
Pr7 Pr 0.276 0.289 0.033
Pr8 Pr 0.724 0.711 0.967
Cl1 Cl 0.500 0.000 0.000
Cl2 Cl 0.000 0.000 0.500
Cl3 Cl 0.500 0.000 0.500
Cl4 Cl 0.000 0.000 0.000
Rh1 Rh 0.500 0.500 0.000
Rh2 Rh 0.500 0.500 0.500
Rh3 Rh 0.000 0.500 0.500
As1 As 0.000 0.500 0.000
```

---

Number 1: M_tot 0.000 Bohr magnetons per cell, theoretical density 9.80 Mg/m³. Number 2: M_tot 0.000 Bohr magnetons per cell, theoretical density 9.88 Mg/m³. Number 3: M_tot 2.035 Bohr magnetons per cell, theoretical density 4.92 Mg/m³. Number 4: M_tot 0.000 Bohr magnetons per cell, theoretical density 6.05 Mg/m³.